Computed, not measured: a geometry-optimized CsCdIN2 structure at the PBE-GGA level of DFT.

Output
SG	No. 123
relative energy among the computed polymorphs	0.000	eV/atom
magnetic moment	0.800	μB per atom
uncorrected energy	-14.8	eV/cell
energy relative to the elements, uncorrected	1.03	eV/atom

Cell and atoms, written as POSCAR:
```
CsCdIN2
1.0
4.957 0.000 0.000
0.000 4.957 0.000
0.000 0.000 6.236
Cs Cd I N
1 1 1 2
direct
0.000 0.000 0.000
0.500 0.500 0.500
0.500 0.500 0.000
0.000 0.500 0.500
0.500 0.000 0.500
```